PBE MgRe2Tc, relaxed; ΔH_f (0 K) = 0.827 eV/atom; volume = 17.859 Å³ per atom; SG = I-42d (122); total magnetic moment = 0.0 μB per formula unit
1.0
7.435 0.000 0.000
0.000 7.435 0.000
3.718 3.718 2.584
Re Mg Tc
4 2 2
direct
0.680 0.125 0.250 Re
0.070 0.625 0.250 Re
0.375 0.320 0.750 Re
0.875 0.930 0.750 Re
0.500 0.500 0.000 Mg
0.250 0.750 0.500 Mg
0.000 0.000 0.000 Tc
0.750 0.250 0.500 Tc